1.
First-principles (PBE) data for a relaxed structure of CuAgHgCl5, as listed in Alexandria.

Unit cell a=6.9745 b=6.9745 c=9.9072 alpha=105.13 beta=105.13 gamma=101.11
Closest atoms and distances in Å follow each position.
Fractional positions:
Cu1 0.0753 0.9247 0.7500  4 Cl 2.25-2.28
Cu2 0.9247 0.0753 0.2500  4 Cl 2.25-2.28
Ag1 0.4061 0.5939 0.7500  3 Cl 2.49-2.67
Ag2 0.5939 0.4061 0.2500  3 Cl 2.49-2.67
Hg1 0.0000 0.5000 0.0000  4 Cl 2.54-2.83
Hg2 0.5000 0.0000 0.5000  4 Cl 2.54-2.83
Cl1 0.1764 0.2751 0.8588  1 Cu 2.28, 1 Hg 2.54
Cl2 0.1806 0.7534 0.5703  1 Cu 2.25
Cl3 0.2466 0.8194 0.9297  1 Cu 2.25
Cl4 0.2751 0.1764 0.3588  1 Cu 2.28, 1 Hg 2.54
Cl5 0.3631 0.6369 0.2500  1 Ag 2.49
Cl6 0.6369 0.3631 0.7500  1 Ag 2.49
Cl7 0.7249 0.8236 0.6412  1 Cu 2.28, 1 Hg 2.54
Cl8 0.7534 0.1806 0.0703  1 Cu 2.25
Cl9 0.8194 0.2466 0.4297  1 Cu 2.25
Cl10 0.8236 0.7249 0.1412  1 Cu 2.28, 1 Hg 2.54

## Properties
The calculation puts the uncorrected formation energy at -3.62 eV per formula unit. The space-group type is No. 15.



2.
First-principles (PBE) data for a relaxed structure of Pm4Nd2DyTm2, as listed in Alexandria.

Unit cell a=8.0897 b=8.0897 c=8.0427 alpha=107.60 beta=107.60 gamma=36.86
Closest atoms and distances in Å follow each position.
Fractional positions:
Pm1 0.0552 0.0552 0.3301  2 Dy 3.59, 2 Tm 3.59, 4 Pm 3.61-3.65, 4 Nd 3.62-3.64
Pm2 0.2785 0.2785 0.6702  1 Dy 3.58, 3 Tm 3.59, 5 Pm 3.61-3.64, 3 Nd 3.62-3.64
Pm3 0.7215 0.7215 0.3298  1 Dy 3.58, 3 Tm 3.59, 5 Pm 3.61-3.64, 3 Nd 3.62-3.64
Pm4 0.9448 0.9448 0.6699  2 Dy 3.59, 2 Tm 3.59, 4 Pm 3.61-3.65, 4 Nd 3.62-3.64
Nd1 0.3883 0.3883 0.3306  3 Tm 3.59, 1 Dy 3.59, 7 Pm 3.62-3.64, 1 Nd 3.64
Nd2 0.6117 0.6117 0.6694  3 Tm 3.59, 1 Dy 3.59, 7 Pm 3.62-3.64, 1 Nd 3.64
Dy1 0.5000 0.5000 0.0000  6 Pm 3.58-3.59, 2 Nd 3.59, 4 Tm 3.62
Tm1 0.1669 0.1669 0.0001  3 Nd 3.59, 5 Pm 3.59, 2 Tm 3.61, 2 Dy 3.62
Tm2 0.8331 0.8331 0.9999  3 Nd 3.59, 5 Pm 3.59, 2 Tm 3.61, 2 Dy 3.62

## Properties
For the formation energy, the calculation gives 0.20 eV/f.u. The space-group type is No. 12.



| no. | final energy (eV per cell) | DOS(E_F) (states/eV/f.u.) |
| --- | --- | --- |
| 1 | -40.21 | 4.607 |
| 2 | -41.88 | 14.206 |